--- A ---
Crystalline Mg2SiAs at its relaxed geometry, computed with PBE.

a = 7.422 Å, b = 7.422 Å, c = 6.028 Å
α = 52.00°, β = 52.00°, γ = 90.00°
Fractional positions:
1 Mg 0.638 0.125 0.250
2 Mg 0.112 0.625 0.250
3 Mg 0.375 0.362 0.750
4 Mg 0.875 0.888 0.750
5 As 0.000 0.000 0.000
6 As 0.750 0.250 0.500
7 Si 0.500 0.500 0.000
8 Si 0.250 0.750 0.500

Results
Volume: 163.3 Å³/cell

--- B ---
Crystalline Mg2SiAs at its relaxed geometry, computed with PBE.

a = 8.140 Å, b = 8.140 Å, c = 8.140 Å
α = 25.27°, β = 25.27°, γ = 25.27°
Fractional positions:
1 As 0.764 0.764 0.764
2 Mg 0.009 0.009 0.009
3 Mg 0.241 0.241 0.241
4 Si 0.486 0.486 0.486

Results
Volume: 86.5 Å³/cell

Most stable pick: B. Distance to second place: 73 meV/atom.

--- A ---
Crystalline Mg2SiAs at its relaxed geometry, computed with PBE.

a = 3.401 Å, b = 3.401 Å, c = 6.856 Å
α = 90.00°, β = 90.00°, γ = 89.99°
Fractional positions:
1 As 0.500 0.500 0.703
2 Mg 0.000 0.000 0.971
3 Mg 0.500 0.500 0.284
4 Si 0.000 0.000 0.542

Results
Volume: 79.3 Å³/cell

--- B ---
Crystalline Mg2SiAs at its relaxed geometry, computed with PBE.

a = 4.762 Å, b = 4.762 Å, c = 4.762 Å
α = 60.00°, β = 60.00°, γ = 60.00°
Fractional positions:
1 As 0.500 0.500 0.500
2 Mg 0.000 0.000 0.000
3 Mg 0.750 0.750 0.750
4 Si 0.250 0.250 0.250

Results
Volume: 76.3 Å³/cell

Most stable pick: A. Distance to second place: 110 meV/atom.

--- A ---
Crystalline Mg2SiAs at its relaxed geometry, computed with PBE.

a = 3.066 Å, b = 4.434 Å, c = 5.758 Å
α = 90.00°, β = 90.00°, γ = 90.00°
Fractional positions:
1 As 0.500 0.500 0.816
2 Mg 0.000 0.000 0.939
3 Mg 0.500 0.500 0.310
4 Si 0.000 0.000 0.435

Results
Volume: 78.3 Å³/cell

--- B ---
Crystalline Mg2SiAs at its relaxed geometry, computed with PBE.

a = 5.871 Å, b = 5.871 Å, c = 5.871 Å
α = 144.97°, β = 137.62°, γ = 56.11°
Fractional positions:
1 As 0.290 0.790 0.500
2 Mg 0.010 0.010 0.000
3 Mg 0.727 0.227 0.500
4 Si 0.473 0.473 0.000

Results
Volume: 77.7 Å³/cell

--- C ---
Crystalline Mg2SiAs at its relaxed geometry, computed with PBE.

a = 3.713 Å, b = 3.713 Å, c = 5.686 Å
α = 90.00°, β = 90.00°, γ = 90.00°
Fractional positions:
1 As 0.500 0.500 0.786
2 Mg 0.000 0.000 0.956
3 Mg 0.500 0.500 0.289
4 Si 0.000 0.000 0.469

Results
Volume: 78.4 Å³/cell

--- D ---
Crystalline Mg2SiAs at its relaxed geometry, computed with PBE.

a = 4.792 Å, b = 4.792 Å, c = 3.389 Å
α = 89.98°, β = 89.98°, γ = 104.12°
Fractional positions:
1 As 0.000 0.500 0.500
2 Mg 0.000 0.000 0.000
3 Mg 0.500 0.500 0.000
4 Si 0.500 0.000 0.500

Results
Volume: 75.5 Å³/cell

Most stable pick: B. Distance to second place: 28 meV/atom.

--- A ---
Crystalline Mg2SiAs at its relaxed geometry, computed with PBE.

a = 3.069 Å, b = 3.069 Å, c = 7.908 Å
α = 90.00°, β = 90.00°, γ = 89.94°
Fractional positions:
1 As 0.500 0.500 0.750
2 Mg 0.000 0.000 0.009
3 Mg 0.000 0.000 0.491
4 Si 0.500 0.500 0.250

Results
Volume: 74.5 Å³/cell

--- B ---
Crystalline Mg2SiAs at its relaxed geometry, computed with PBE.

a = 4.530 Å, b = 4.530 Å, c = 5.204 Å
α = 74.83°, β = 74.83°, γ = 49.39°
Fractional positions:
1 As 0.250 0.250 0.250
2 Mg 0.999 0.999 0.994
3 Mg 0.501 0.501 0.506
4 Si 0.750 0.750 0.750

Results
Volume: 77.6 Å³/cell

--- C ---
Crystalline Mg2SiAs at its relaxed geometry, computed with PBE.

a = 4.976 Å, b = 4.976 Å, c = 4.976 Å
α = 127.64°, β = 127.64°, γ = 77.22°
Fractional positions:
1 As 0.750 0.250 0.500
2 Mg 0.000 0.000 0.000
3 Mg 0.500 0.500 0.000
4 Si 0.250 0.750 0.500

Results
Volume: 75.0 Å³/cell

--- D ---
Crystalline Mg2SiAs at its relaxed geometry, computed with PBE.

a = 8.124 Å, b = 8.124 Å, c = 8.124 Å
α = 24.19°, β = 24.19°, γ = 24.19°
Fractional positions:
1 As 0.750 0.750 0.750
2 Mg 0.999 0.999 0.999
3 Mg 0.501 0.501 0.501
4 Si 0.250 0.250 0.250

Results
Volume: 79.1 Å³/cell

Most stable pick: B. Distance to second place: 18 meV/atom.

--- A ---
Crystalline SrMg3As at its relaxed geometry, computed with PBE.

a = 5.314 Å, b = 5.314 Å, c = 5.314 Å
α = 90.00°, β = 90.00°, γ = 90.00°
Fractional positions:
1 Sr 0.500 0.500 0.500
2 As 0.000 0.000 0.000
3 Mg 0.000 0.500 0.000
4 Mg 0.000 0.000 0.500
5 Mg 0.500 0.000 0.000

Results
Volume: 150.0 Å³/cell

--- B ---
Crystalline SrMg3As at its relaxed geometry, computed with PBE.

a = 6.331 Å, b = 6.331 Å, c = 6.331 Å
α = 90.00°, β = 90.00°, γ = 90.00°
Fractional positions:
1 Sr 0.000 0.000 0.000
2 As 0.500 0.500 0.500
3 Mg 0.000 0.500 0.000
4 Mg 0.000 0.000 0.500
5 Mg 0.500 0.000 0.000

Results
Volume: 253.7 Å³/cell

Most stable pick: A. Distance to second place: 1302 meV/atom.

--- A ---
Crystalline MgTa2As at its relaxed geometry, computed with PBE.

a = 9.369 Å, b = 9.369 Å, c = 9.369 Å
α = 18.70°, β = 18.70°, γ = 18.70°
Fractional positions:
1 As 0.250 0.250 0.250
2 Mg 0.750 0.750 0.750
3 Ta 0.992 0.992 0.992
4 Ta 0.508 0.508 0.508

Results
Volume: 73.9 Å³/cell

--- B ---
Crystalline MgTa2As at its relaxed geometry, computed with PBE.

a = 3.492 Å, b = 3.492 Å, c = 5.900 Å
α = 90.00°, β = 90.00°, γ = 90.00°
Fractional positions:
1 As 0.000 0.000 0.496
2 Mg 0.500 0.500 0.744
3 Ta 0.000 0.000 0.016
4 Ta 0.500 0.500 0.244

Results
Volume: 72.0 Å³/cell

Most stable pick: B. Distance to second place: 247 meV/atom.

--- A ---
Crystalline MgTa2As at its relaxed geometry, computed with PBE.

a = 4.643 Å, b = 4.643 Å, c = 3.229 Å
α = 90.00°, β = 90.00°, γ = 90.00°
Fractional positions:
1 As 0.500 0.000 0.500
2 Mg 0.000 0.500 0.500
3 Ta 0.000 0.000 0.000
4 Ta 0.500 0.500 0.000

Results
Volume: 69.6 Å³/cell

--- B ---
Crystalline MgTa2As at its relaxed geometry, computed with PBE.

a = 3.185 Å, b = 3.185 Å, c = 7.198 Å
α = 90.00°, β = 90.00°, γ = 90.00°
Fractional positions:
1 As 0.500 0.500 0.250
2 Mg 0.500 0.500 0.750
3 Ta 0.000 0.000 0.042
4 Ta 0.000 0.000 0.458

Results
Volume: 73.0 Å³/cell

Most stable pick: B. Distance to second place: 232 meV/atom.

--- A ---
Crystalline MgTc2As at its relaxed geometry, computed with PBE.

a = 3.105 Å, b = 3.105 Å, c = 6.455 Å
α = 90.00°, β = 90.00°, γ = 90.00°
Fractional positions:
1 As 0.500 0.500 0.250
2 Mg 0.500 0.500 0.750
3 Tc 0.000 0.000 0.040
4 Tc 0.000 0.000 0.460

Results
Volume: 62.2 Å³/cell

--- B ---
Crystalline MgTc2As at its relaxed geometry, computed with PBE.

a = 4.325 Å, b = 4.325 Å, c = 3.156 Å
α = 90.00°, β = 90.00°, γ = 89.99°
Fractional positions:
1 As 0.500 0.000 0.500
2 Mg 0.000 0.500 0.500
3 Tc 0.000 0.000 0.000
4 Tc 0.500 0.500 0.000

Results
Volume: 59.0 Å³/cell

--- C ---
Crystalline MgTc2As at its relaxed geometry, computed with PBE.

a = 2.826 Å, b = 2.826 Å, c = 8.826 Å
α = 90.00°, β = 90.00°, γ = 112.40°
Fractional positions:
1 As 0.000 0.000 0.481
2 Mg 0.500 0.500 0.760
3 Tc 0.000 0.000 0.013
4 Tc 0.500 0.500 0.246

Results
Volume: 65.2 Å³/cell

--- D ---
Crystalline MgTc2As at its relaxed geometry, computed with PBE.

a = 2.907 Å, b = 2.907 Å, c = 8.375 Å
α = 90.00°, β = 90.00°, γ = 115.02°
Fractional positions:
1 As 0.500 0.500 0.250
2 Mg 0.500 0.500 0.750
3 Tc 0.000 0.000 0.024
4 Tc 0.000 0.000 0.476

Results
Volume: 64.1 Å³/cell

Most stable pick: A. Distance to second place: 80 meV/atom.

--- A ---
Crystalline Mg3TcAs at its relaxed geometry, computed with PBE.

a = 4.968 Å, b = 4.968 Å, c = 4.968 Å
α = 90.00°, β = 90.00°, γ = 90.00°
Fractional positions:
1 Mg 0.000 0.500 0.000
2 Mg 0.000 0.000 0.500
3 Mg 0.500 0.000 0.000
4 As 0.500 0.500 0.500
5 Tc 0.000 0.000 0.000

Results
Volume: 122.6 Å³/cell

--- B ---
Crystalline Mg3TcAs at its relaxed geometry, computed with PBE.

a = 4.935 Å, b = 4.935 Å, c = 4.935 Å
α = 90.00°, β = 90.00°, γ = 90.00°
Fractional positions:
1 Mg 0.000 0.500 0.000
2 Mg 0.000 0.000 0.500
3 Mg 0.500 0.000 0.000
4 As 0.000 0.000 0.000
5 Tc 0.500 0.500 0.500

Results
Volume: 120.2 Å³/cell

Most stable pick: B. Distance to second place: 180 meV/atom.

--- A ---
Crystalline MgTe2As at its relaxed geometry, computed with PBE.

a = 4.204 Å, b = 5.203 Å, c = 5.205 Å
α = 73.41°, β = 90.00°, γ = 90.00°
Fractional positions:
1 As 0.500 0.250 0.250
2 Mg 0.500 0.750 0.750
3 Te 0.000 0.007 0.007
4 Te 0.000 0.493 0.493

Results
Volume: 109.1 Å³/cell

--- B ---
Crystalline MgTe2As at its relaxed geometry, computed with PBE.

a = 8.833 Å, b = 8.833 Å, c = 8.833 Å
α = 156.77°, β = 153.57°, γ = 35.47°
Fractional positions:
1 As 0.550 0.550 0.000
2 Mg 0.690 0.190 0.500
3 Te 0.994 0.994 0.000
4 Te 0.265 0.765 0.500

Results
Volume: 120.8 Å³/cell

Most stable pick: A. Distance to second place: 26 meV/atom.

--- A ---
Crystalline Mg3TeAs at its relaxed geometry, computed with PBE.

a = 5.101 Å, b = 5.101 Å, c = 5.101 Å
α = 90.00°, β = 90.00°, γ = 90.00°
Fractional positions:
1 As 0.000 0.000 0.000
2 Te 0.500 0.500 0.500
3 Mg 0.000 0.500 0.000
4 Mg 0.000 0.000 0.500
5 Mg 0.500 0.000 0.000

Results
Volume: 132.7 Å³/cell

--- B ---
Crystalline Mg3TeAs at its relaxed geometry, computed with PBE.

a = 5.348 Å, b = 5.348 Å, c = 5.348 Å
α = 90.00°, β = 90.00°, γ = 90.00°
Fractional positions:
1 As 0.500 0.500 0.500
2 Te 0.000 0.000 0.000
3 Mg 0.000 0.500 0.000
4 Mg 0.000 0.000 0.500
5 Mg 0.500 0.000 0.000

Results
Volume: 152.9 Å³/cell

Most stable pick: A. Distance to second place: 625 meV/atom.

--- A ---
Crystalline ThMgAs2 at its relaxed geometry, computed with PBE.

a = 3.789 Å, b = 4.856 Å, c = 4.856 Å
α = 90.00°, β = 90.00°, γ = 90.00°
Fractional positions:
1 As 0.000 0.000 0.500
2 As 0.000 0.500 0.000
3 Mg 0.500 0.500 0.500
4 Th 0.500 0.000 0.000

Results
Volume: 89.3 Å³/cell

--- B ---
Crystalline ThMgAs2 at its relaxed geometry, computed with PBE.

a = 4.179 Å, b = 4.179 Å, c = 7.165 Å
α = 73.05°, β = 73.05°, γ = 60.00°
Fractional positions:
1 Th 0.668 0.668 0.995
2 Mg 0.495 0.495 0.514
3 As 0.087 0.087 0.738
4 As 0.249 0.249 0.253

Results
Volume: 102.0 Å³/cell

Most stable pick: B. Distance to second place: 61 meV/atom.